Entry 1:
Compound: LiHgAs2
Source: Alexandria
Functional: GGA-PBE
Structure: optimized geometry

```
data_LiHgAs2
_chemical_formula_sum 'Li2 Hg2 As4'
_cell_length_a 11.727
_cell_length_b 3.413
_cell_length_c 4.393
_cell_angle_alpha 90.00
_cell_angle_beta 103.48
_cell_angle_gamma 90.00
_space_group_name_H-M_alt 'C 1 m 1'
_space_group_IT_number 8
_space_group_name_Hall 'C -2y'
loop_
_atom_site_label
_atom_site_fract_x
_atom_site_fract_y
_atom_site_fract_z
Li1 0.000 0.000 0.000
Hg1 0.230 0.500 0.947
As1 0.288 0.000 0.475
As2 0.499 0.000 0.495
```

Summary:
DFT total energy	-23.775	eV per cell

Entry 2:
Compound: CaMgTi
Source: Alexandria
Functional: GGA-PBE
Structure: optimized geometry

```
data_CaMgTi
_chemical_formula_sum 'Ca4 Mg4 Ti4'
_cell_length_a 6.758
_cell_length_b 4.335
_cell_length_c 10.585
_cell_angle_alpha 90.00
_cell_angle_beta 90.00
_cell_angle_gamma 90.00
_space_group_name_H-M_alt 'P n m a'
_space_group_IT_number 62
_space_group_name_Hall '-P 2ac 2n'
loop_
_atom_site_label
_atom_site_fract_x
_atom_site_fract_y
_atom_site_fract_z
Ca1 0.191 0.250 0.229
Mg1 0.120 0.250 0.930
Ti1 0.057 0.250 0.537
```

Summary:
E above lowest polymorph	75	meV/atom

Entry 3:
Compound: CoOs2Se
Source: Alexandria
Functional: GGA-PBE
Structure: optimized geometry

```
data_CoOs2Se
_chemical_formula_sum 'Co1 Os2 Se1'
_cell_length_a 3.021
_cell_length_b 3.021
_cell_length_c 6.128
_cell_angle_alpha 90.00
_cell_angle_beta 90.00
_cell_angle_gamma 90.00
_space_group_name_H-M_alt 'P 4/m m m'
_space_group_IT_number 123
_space_group_name_Hall '-P 4 2'
loop_
_atom_site_label
_atom_site_fract_x
_atom_site_fract_y
_atom_site_fract_z
Co1 0.000 0.000 0.000
Os1 0.500 0.500 0.222
Se1 0.000 0.000 0.500
```

Summary:
formation energy (no corrections)	0.6294	eV per atom

Entry 4:
Compound: RbNb2RhO
Source: Alexandria
Functional: GGA-PBE
Structure: optimized geometry

```
data_RbNb2RhO
_chemical_formula_sum 'Rb1 Nb2 Rh1 O1'
_cell_length_a 4.212
_cell_length_b 4.212
_cell_length_c 5.363
_cell_angle_alpha 90.00
_cell_angle_beta 90.00
_cell_angle_gamma 90.00
_space_group_name_H-M_alt 'P 4/m m m'
_space_group_IT_number 123
_space_group_name_Hall '-P 4 2'
loop_
_atom_site_label
_atom_site_fract_x
_atom_site_fract_y
_atom_site_fract_z
Rb1 0.000 0.000 0.000
Nb1 0.000 0.500 0.500
Rh1 0.500 0.500 0.000
O1 0.500 0.500 0.500
```

Summary:
formation energy (no corrections)	0.4280	eV per atom

Entry 5:
Compound: Ca2TmNi3As4
Source: Alexandria
Functional: GGA-PBE
Structure: optimized geometry

```
data_Ca2TmNi3As4
_chemical_formula_sum 'Ca2 Tm1 Ni3 As4'
_cell_length_a 4.215
_cell_length_b 4.215
_cell_length_c 10.612
_cell_angle_alpha 90.00
_cell_angle_beta 90.00
_cell_angle_gamma 90.00
_space_group_name_H-M_alt 'P -4 m 2'
_space_group_IT_number 115
_space_group_name_Hall 'P -4 -2'
loop_
_atom_site_label
_atom_site_fract_x
_atom_site_fract_y
_atom_site_fract_z
Ca1 0.000 0.500 0.224
Tm1 0.000 0.000 0.500
Ni1 0.000 0.500 0.890
Ni2 0.500 0.500 0.500
As1 0.000 0.000 0.000
As2 0.000 0.500 0.663
As3 0.500 0.500 0.000
```

Summary:
DFT total energy	-51.951	eV per cell

Entry 6:
Compound: Ac8Nd2Sm3
Source: Alexandria
Functional: GGA-PBE
Structure: optimized geometry

```
data_Ac8Nd2Sm3
_chemical_formula_sum 'Ac16 Nd4 Sm6'
_cell_length_a 8.398
_cell_length_b 21.249
_cell_length_c 6.179
_cell_angle_alpha 90.00
_cell_angle_beta 90.00
_cell_angle_gamma 90.00
_space_group_name_H-M_alt 'C m m m'
_space_group_IT_number 65
_space_group_name_Hall '-C 2 2'
loop_
_atom_site_label
_atom_site_fract_x
_atom_site_fract_y
_atom_site_fract_z
Ac1 0.000 0.131 0.000
Ac2 0.000 0.327 0.000
Ac3 0.209 0.396 0.500
Nd1 0.000 0.241 0.500
Sm1 0.000 0.000 0.500
Sm2 0.209 0.500 0.000
```

Summary:
E above lowest polymorph	32	meV/atom

Entry 7:
Compound: Sm8DyCd6
Source: Alexandria
Functional: GGA-PBE
Structure: optimized geometry

```
data_Sm8DyCd6
_chemical_formula_sum 'Sm24 Dy3 Cd18'
_cell_length_a 9.0997
_cell_length_b 9.0997
_cell_length_c 19.4499
_cell_angle_alpha 90.00
_cell_angle_beta 90.00
_cell_angle_gamma 120.00
_space_group_name_H-M_alt 'R -3'
_space_group_IT_number 148
_space_group_name_Hall '-R 3'
loop_
_atom_site_label
_atom_site_fract_x
_atom_site_fract_y
_atom_site_fract_z
Sm1 0.0000 0.0000 0.1657
Sm2 0.0013 0.6653 0.3830
Dy1 0.0000 0.0000 0.5000
Cd1 0.0003 0.3296 0.4501
```

Summary:
DFT total energy	-147.316	eV per cell

Entry 8:
Compound: La2ScCr
Source: Alexandria
Functional: GGA-PBE
Structure: optimized geometry

```
data_La2ScCr
_chemical_formula_sum 'La8 Sc4 Cr4'
_cell_length_a 7.616
_cell_length_b 7.616
_cell_length_c 7.616
_cell_angle_alpha 90.00
_cell_angle_beta 90.00
_cell_angle_gamma 90.00
_space_group_name_H-M_alt 'F -4 3 m'
_space_group_IT_number 216
_space_group_name_Hall 'F -4 2 3'
loop_
_atom_site_label
_atom_site_fract_x
_atom_site_fract_y
_atom_site_fract_z
La1 0.000 0.000 0.000
La2 0.250 0.250 0.250
Sc1 0.000 0.000 0.500
Cr1 0.250 0.250 0.750
```

Summary:
E above lowest polymorph	105	meV/atom

Entry 9:
Compound: Ni4N3
Source: Alexandria
Functional: GGA-PBE
Structure: optimized geometry

```
data_Ni4N3
_chemical_formula_sum 'Ni4 N3'
_cell_length_a 3.959
_cell_length_b 3.959
_cell_length_c 3.959
_cell_angle_alpha 90.00
_cell_angle_beta 90.00
_cell_angle_gamma 90.00
_space_group_name_H-M_alt 'P m -3 m'
_space_group_IT_number 221
_space_group_name_Hall '-P 4 2 3'
loop_
_atom_site_label
_atom_site_fract_x
_atom_site_fract_y
_atom_site_fract_z
Ni1 0.000 0.000 0.000
Ni2 0.000 0.500 0.500
N1 0.000 0.000 0.500
```

Summary:
formation energy (no corrections)	0.4086	eV per atom

Entry 10:
Compound: AgSO4F
Source: Alexandria
Functional: GGA-PBE
Structure: optimized geometry

```
data_AgSO4F
_chemical_formula_sum 'Ag2 S2 O8 F2'
_cell_length_a 4.859
_cell_length_b 6.391
_cell_length_c 7.531
_cell_angle_alpha 90.00
_cell_angle_beta 102.58
_cell_angle_gamma 90.00
_space_group_name_H-M_alt 'P 1 21/m 1'
_space_group_IT_number 11
_space_group_name_Hall '-P 2yb'
loop_
_atom_site_label
_atom_site_fract_x
_atom_site_fract_y
_atom_site_fract_z
Ag1 0.083 0.250 0.272
S1 0.007 0.250 0.658
O1 0.098 0.572 0.244
O2 0.165 0.750 0.540
O3 0.303 0.250 0.657
F1 0.329 0.250 0.099
```

Summary:
formation energy (no corrections)	-0.8449	eV per atom

Entry 11:
Compound: SrPrNdGd
Source: Alexandria
Functional: GGA-PBE
Structure: optimized geometry

```
data_SrPrNdGd
_chemical_formula_sum 'Sr4 Pr4 Nd4 Gd4'
_cell_length_a 8.467
_cell_length_b 8.467
_cell_length_c 8.467
_cell_angle_alpha 90.00
_cell_angle_beta 90.00
_cell_angle_gamma 90.00
_space_group_name_H-M_alt 'F -4 3 m'
_space_group_IT_number 216
_space_group_name_Hall 'F -4 2 3'
loop_
_atom_site_label
_atom_site_fract_x
_atom_site_fract_y
_atom_site_fract_z
Sr1 0.000 0.000 0.000
Pr1 0.250 0.250 0.750
Nd1 0.250 0.250 0.250
Gd1 0.000 0.000 0.500
```

Summary:
DFT total energy	-98.122	eV per cell

Entry 12:
Compound: Ce2ThTe3
Source: Alexandria
Functional: GGA-PBE
Structure: optimized geometry

```
data_Ce2ThTe3
_chemical_formula_sum 'Ce4 Th2 Te6'
_cell_length_a 4.425
_cell_length_b 6.327
_cell_length_c 13.562
_cell_angle_alpha 90.00
_cell_angle_beta 90.00
_cell_angle_gamma 90.00
_space_group_name_H-M_alt 'I m m m'
_space_group_IT_number 71
_space_group_name_Hall '-I 2 2'
loop_
_atom_site_label
_atom_site_fract_x
_atom_site_fract_y
_atom_site_fract_z
Ce1 0.000 0.000 0.166
Th1 0.000 0.000 0.500
Te1 0.000 0.500 0.168
Te2 0.000 0.500 0.500
```

Summary:
formation energy (no corrections)	-1.2460	eV per atom